Record 1
Here is a geometry-optimized TeOs2Pt structure from the Alexandria database. Energies are from PBE-GGA.

a b c (Å): 7.3785 7.3785 7.3785
angles (deg): 136.15 136.15 63.75
Element x y z (fractional)
Te (0.0000, 0.0000, 0.0000)
Te (0.7500, 0.2500, 0.5000)
Os (0.1424, 0.6250, 0.0174)
Os (0.3750, 0.3924, 0.5174)
Os (0.6076, 0.1250, 0.9826)
Os (0.8750, 0.8576, 0.4826)
Pt (0.2500, 0.7500, 0.5000)
Pt (0.5000, 0.5000, 0.0000)

Summary:
crystal system: tetragonal
formation energy from raw total energies: 113.72 kJ/mol of atoms
energy: -0.2474 Ha/atom
mass density: 12.27 g/cm3

Record 2
Here is a geometry-optimized Er2AlFe structure from the Alexandria database. Energies are from PBE-GGA.

a b c (Å): 10.3113 10.3113 10.3113
angles (deg): 18.05 18.05 18.05
Element x y z (fractional)
Er (0.0875, 0.0875, 0.0875)
Er (0.9125, 0.9125, 0.9125)
Al (0.5000, 0.5000, 0.5000)
Fe (0.0000, 0.0000, 0.0000)

Summary:
crystal system: trigonal
energy: -0.1796 Ha/atom
ΔE_f: 1.78 eV per formula unit
mass density: 7.54 g/cm3

Record 3
Here is a geometry-optimized SrCdPdO2 structure from the Alexandria database. Energies are from PBE-GGA.

a b c (Å): 4.4076 4.4076 4.8782
angles (deg): 90.00 90.00 90.00
Element x y z (fractional)
Sr (0.0000, 0.0000, 0.0000)
Cd (0.5000, 0.5000, 0.0000)
Pd (0.5000, 0.5000, 0.5000)
O (0.0000, 0.5000, 0.5000)
O (0.5000, 0.0000, 0.5000)

Summary:
crystal system: tetragonal
formation energy from raw total energies: -35.37 kJ/mol of atoms
energy: -0.1436 Ha/atom
mass density: 5.93 g/cm3

Record 4
Here is a geometry-optimized RbMg structure from the Alexandria database. Energies are from PBE-GGA.

a b c (Å): 5.4244 5.4244 17.6041
angles (deg): 90.00 90.00 120.00
Element x y z (fractional)
Rb (0.3333, 0.6667, 0.1092)
Rb (0.3333, 0.6667, 0.3908)
Rb (0.6667, 0.3333, 0.6092)
Rb (0.6667, 0.3333, 0.8908)
Mg (0.0000, 0.0000, 0.2500)
Mg (0.0000, 0.0000, 0.7500)
Mg (0.3333, 0.6667, 0.7500)
Mg (0.6667, 0.3333, 0.2500)

Summary:
crystal system: hexagonal
energy: -0.0399 Ha/atom
ΔE_f: 0.39 eV per formula unit
mass density: 1.63 g/cm3

Record 5
Here is a geometry-optimized InTcPb2 structure from the Alexandria database. Energies are from PBE-GGA.

a b c (Å): 8.0455 8.0455 8.0455
angles (deg): 131.56 131.56 70.93
Element x y z (fractional)
In (0.0000, 0.0000, 0.0000)
In (0.7500, 0.2500, 0.5000)
Tc (0.2500, 0.7500, 0.5000)
Tc (0.5000, 0.5000, 0.0000)
Pb (0.1836, 0.6250, 0.0586)
Pb (0.3750, 0.4336, 0.5586)
Pb (0.5664, 0.1250, 0.9414)
Pb (0.8750, 0.8164, 0.4414)

Summary:
crystal system: tetragonal
energy: -0.1538 Ha/atom
ΔE_f: 3.78 eV per formula unit
mass density: 7.29 g/cm3

Record 6
Here is a geometry-optimized CeSm2Dy3Te6 structure from the Alexandria database. Energies are from PBE-GGA.

a b c (Å): 9.8757 9.8757 8.8895
angles (deg): 103.68 103.68 25.58
Element x y z (fractional)
Ce (0.0000, 0.0000, 0.0000)
Sm (0.3344, 0.3344, 0.6688)
Sm (0.6656, 0.6656, 0.3312)
Dy (0.0000, 0.0000, 0.5000)
Dy (0.3332, 0.3332, 0.1660)
Dy (0.6668, 0.6668, 0.8340)
Te (0.1655, 0.1655, 0.5876)
Te (0.1693, 0.1693, 0.0793)
Te (0.4979, 0.4979, 0.2568)
Te (0.5021, 0.5021, 0.7432)
Te (0.8307, 0.8307, 0.9207)
Te (0.8345, 0.8345, 0.4124)

Summary:
crystal system: monoclinic
formation energy from raw total energies: -128.71 kJ/mol of atoms
energy: -0.1961 Ha/atom
mass density: 7.74 g/cm3